[1]
This record from Alexandria via LeMat-Bulk describes an optimized crystal structure of TbAsPd. The functional is GGA-PBEsol.

Unit cell a=4.108 b=6.965 c=7.834 alpha=90.00 beta=90.00 gamma=90.00
Positions (direct):
Tb (0.250, 0.027, 0.809)
Tb (0.250, 0.527, 0.691)
Tb (0.750, 0.473, 0.309)
Tb (0.750, 0.973, 0.191)
As (0.750, 0.246, 0.620)
As (0.250, 0.754, 0.380)
As (0.250, 0.254, 0.120)
As (0.750, 0.746, 0.880)
Pd (0.750, 0.857, 0.562)
Pd (0.250, 0.643, 0.062)
Pd (0.250, 0.143, 0.438)
Pd (0.750, 0.357, 0.938)

DFT formation energy	-1.241	eV per atom
theoretical density	10.1	Mg/m³
volume	224	Å³/cell
electronic total energy	-6.599	eV/atom

[2]
This record from Alexandria via LeMat-Bulk describes an optimized crystal structure of ZrCrIr2. The functional is GGA-PBEsol.

Unit cell a=2.750 b=2.750 c=9.145 alpha=81.35 beta=81.35 gamma=60.00
Positions (direct):
Zr (0.000, 0.000, 0.000)
Ir (0.241, 0.241, 0.277)
Ir (0.759, 0.759, 0.723)
Cr (0.500, 0.500, 0.500)

DFT formation energy	-0.078	eV per atom
theoretical density	14.9	Mg/m³
volume	59	Å³/cell
electronic total energy	-9.823	eV/atom
distance to the lowest polymorph of the same formula	373.8	meV/atom

[3]
This record from Alexandria via LeMat-Bulk describes an optimized crystal structure of Sr3Sn5. The functional is GGA-PBEsol.

Unit cell a=6.771 b=6.771 c=10.765 alpha=90.00 beta=90.00 gamma=102.46
Positions (direct):
Sn (0.539, 0.539, 0.750)
Sn (0.008, 0.412, 0.250)
Sn (0.190, 0.190, 0.447)
Sn (0.461, 0.461, 0.250)
Sn (0.810, 0.810, 0.947)
Sn (0.412, 0.008, 0.250)
Sn (0.810, 0.810, 0.553)
Sn (0.190, 0.190, 0.053)
Sn (0.992, 0.588, 0.750)
Sn (0.588, 0.992, 0.750)
Sr (0.144, 0.144, 0.750)
Sr (0.704, 0.296, 0.500)
Sr (0.296, 0.704, 0.500)
Sr (0.704, 0.296, 0.000)
Sr (0.296, 0.704, 0.000)
Sr (0.856, 0.856, 0.250)

DFT formation energy	-0.614	eV per atom
theoretical density	5.9	Mg/m³
volume	482	Å³/cell
electronic total energy	-3.966	eV/atom

[4]
This record from Alexandria via LeMat-Bulk describes an optimized crystal structure of CuSiHg. The functional is GGA-PBEsol.

Unit cell a=3.713 b=3.986 c=3.986 alpha=120.00 beta=90.00 gamma=90.00
Positions (direct):
Cu (0.117, 0.000, 0.000)
Hg (0.676, 0.667, 0.333)
Si (0.207, 0.333, 0.667)

theoretical density	9.5	Mg/m³
volume	51	Å³/cell
electronic total energy	-3.248	eV/atom

[5]
This record from Alexandria via LeMat-Bulk describes an optimized crystal structure of LiTl2Hg. The functional is GGA-PBEsol.

Unit cell a=3.481 b=5.210 c=6.057 alpha=115.47 beta=106.70 gamma=90.00
Positions (direct):
Tl (0.755, 0.255, 0.511)
Tl (0.974, 0.974, 0.949)
Li (0.238, 0.738, 0.475)
Hg (0.533, 0.533, 0.065)

DFT formation energy	-0.140	eV per atom
theoretical density	10.9	Mg/m³
volume	94	Å³/cell
electronic total energy	-2.088	eV/atom
distance to the lowest polymorph of the same formula	21.0	meV/atom

[6]
This record from Alexandria via LeMat-Bulk describes an optimized crystal structure of Ba2FeSe. The functional is GGA-PBEsol.

Unit cell a=4.599 b=4.599 c=6.482 alpha=90.00 beta=90.00 gamma=89.98
Site moments in Bohr magnetons follow the coordinates.
Positions (direct):
Se (0.500, 0.500, 0.125)  0.00
Ba (0.000, 0.000, 0.125)  -0.04
Ba (0.500, 0.500, 0.625)  -0.12
Fe (0.000, 0.000, 0.626)  2.65

theoretical density	5.0	Mg/m³
volume	137	Å³/cell
electronic total energy	-4.557	eV/atom

[7]
This record from Alexandria via LeMat-Bulk describes an optimized crystal structure of LaMgRe. The functional is GGA-PBEsol.

Unit cell a=2.869 b=4.333 c=5.742 alpha=112.17 beta=104.47 gamma=90.00
Positions (direct):
Re (0.688, 0.688, 0.377)
Mg (0.303, 0.303, 0.606)
La (0.008, 0.008, 0.017)

DFT formation energy	0.534	eV per atom
theoretical density	9.1	Mg/m³
volume	64	Å³/cell
electronic total energy	-6.265	eV/atom
distance to the lowest polymorph of the same formula	0.0	meV/atom

[8]
This record from Alexandria via LeMat-Bulk describes an optimized crystal structure of AgAu2. The functional is GGA-PBEsol.

Unit cell a=4.000 b=5.781 c=8.693 alpha=90.00 beta=90.00 gamma=90.00
Positions (direct):
Au (0.250, 0.127, 0.249)
Au (0.250, 0.627, 0.251)
Au (0.750, 0.373, 0.749)
Au (0.250, 0.124, 0.584)
Au (0.750, 0.876, 0.416)
Au (0.750, 0.376, 0.084)
Au (0.250, 0.624, 0.916)
Au (0.750, 0.873, 0.751)
Ag (0.750, 0.875, 0.082)
Ag (0.750, 0.375, 0.418)
Ag (0.250, 0.625, 0.582)
Ag (0.250, 0.125, 0.918)

DFT formation energy	-0.049	eV per atom
theoretical density	16.6	Mg/m³
volume	201	Å³/cell
electronic total energy	-3.769	eV/atom
distance to the lowest polymorph of the same formula	0.9	meV/atom

Among the records above, which one has the lowest volume? CuSiHg